Entry from Alexandria: an optimized crystal structure of VPS2Br (PBE).

For the distance to the lowest polymorph of the same formula, the calculation gives 1452 meV/atom.

The structure belongs to space group P4/mmm (No. 123); the cell edges are 4.7023, 4.7023 and 4.8716 Å and the angles 90.00°, 90.00° and 90.00°. The distinct sites, in fractional coordinates, are V at (0.0000, 0.0000, 0.0000), P at (0.5000, 0.5000, 0.0000), S at (0.0000, 0.5000, 0.5000) and Br at (0.5000, 0.5000, 0.5000).

***

Entry from Alexandria: an optimized crystal structure of ScPd5Au5 (PBE).

Its formation energy is -0.26 eV per atom.

The structure belongs to space group P-1 (No. 2); the cell edges are 5.6550, 5.7999 and 6.2666 Å and the angles 76.56°, 78.67° and 89.36°. The distinct sites, in fractional coordinates, are Sc at (0.0000, 0.0000, 0.0000), Pd at (0.1632, 0.6672, 0.3305), Pd at (0.1636, 0.1646, 0.3293), Pd at (0.5000, 0.0000, 0.0000), Au at (0.0000, 0.5000, 0.0000), Au at (0.3374, 0.3357, 0.6780) and Au at (0.3396, 0.8291, 0.6717).

***

Entry from Alexandria: an optimized crystal structure of HoZn2Ni5 (PBE).

Its formation energy is -0.17 eV per atom.

The structure belongs to space group Immm (No. 71); the cell edges are 3.6525, 6.3123 and 9.8870 Å and the angles 90.00°, 90.00° and 90.00°. The distinct sites, in fractional coordinates, are Ho at (0.0000, 0.0000, 0.0000), Zn at (0.0000, 0.5000, 0.2411), Ni at (0.0000, 0.1929, 0.3760) and Ni at (0.0000, 0.5000, 0.0000).

***

Entry from Alexandria: an optimized crystal structure of Sc2As2Au (PBE).

Its formation energy is -0.75 eV per atom. For the distance to the lowest polymorph of the same formula, the calculation gives 116 meV/atom.

The structure belongs to space group P4/mbm (No. 127); the cell edges are 7.6058, 7.6058 and 3.5020 Å and the angles 90.00°, 90.00° and 90.00°. The distinct sites, in fractional coordinates, are Sc at (0.1525, 0.3475, 0.0000), As at (0.1513, 0.6513, 0.5000) and Au at (0.0000, 0.0000, 0.0000).

***

Please write out number 2 again, unchanged.
Entry from Alexandria: an optimized crystal structure of ScPd5Au5 (PBE).

Its formation energy is -0.26 eV per atom.

The structure belongs to space group P-1 (No. 2); the cell edges are 5.6550, 5.7999 and 6.2666 Å and the angles 76.56°, 78.67° and 89.36°. The distinct sites, in fractional coordinates, are Sc at (0.0000, 0.0000, 0.0000), Pd at (0.1632, 0.6672, 0.3305), Pd at (0.1636, 0.1646, 0.3293), Pd at (0.5000, 0.0000, 0.0000), Au at (0.0000, 0.5000, 0.0000), Au at (0.3374, 0.3357, 0.6780) and Au at (0.3396, 0.8291, 0.6717).